(1)
DFT (PBE) results for a geometry-optimized VCdBiAs2 structure.

a = 5.0939 Å, b = 5.0939 Å, c = 5.1127 Å
α = 90.00°, β = 90.00°, γ = 90.00°
Positions (direct):
V: 0.0000 0.0000 0.0000
Cd: 0.0000 0.0000 0.5000
Bi: 0.5000 0.5000 0.0000
As: 0.0000 0.5000 0.5000
As: 0.5000 0.0000 0.5000

## Properties
calculated volume = 133 Å³ per cell
energy of formation = 576 kJ/mol of formula units
symmetry = No. 123


(2)
DFT (PBE) results for a geometry-optimized NaSi2Au6 structure.

a = 4.3462 Å, b = 4.3462 Å, c = 8.8531 Å
α = 90.00°, β = 90.00°, γ = 90.00°
Positions (direct):
Na: 0.0000 0.0000 0.0000
Si: 0.5000 0.5000 0.1332
Si: 0.5000 0.5000 0.8668
Au: 0.0000 0.0000 0.5000
Au: 0.0000 0.5000 0.2694
Au: 0.0000 0.5000 0.7306
Au: 0.5000 0.0000 0.2694
Au: 0.5000 0.0000 0.7306
Au: 0.5000 0.5000 0.5000

## Properties
calculated volume = 167 Å³ per cell
symmetry = No. 123
formation energy (no corrections) = -0.13 eV per atom


(3)
DFT (PBE) results for a geometry-optimized Be2VPt2 structure.

a = 6.8858 Å, b = 6.8858 Å, c = 2.6711 Å
α = 90.00°, β = 90.00°, γ = 90.00°
Positions (direct):
Be: 0.1542 0.3458 0.0000
Be: 0.3458 0.8458 0.0000
Be: 0.6542 0.1542 0.0000
Be: 0.8458 0.6542 0.0000
V: 0.0000 0.0000 0.5000
V: 0.5000 0.5000 0.5000
Pt: 0.1445 0.6445 0.5000
Pt: 0.3555 0.1445 0.5000
Pt: 0.6445 0.8555 0.5000
Pt: 0.8555 0.3555 0.5000

## Properties
calculated volume = 127 Å³ per cell
energy of formation = -189 kJ/mol of formula units
symmetry = No. 127


(4)
DFT (PBE) results for a geometry-optimized Li2Pd3Au structure.

a = 6.9450 Å, b = 6.9450 Å, c = 6.7080 Å
α = 106.37°, β = 106.37°, γ = 34.86°
Positions (direct):
Li: 0.0305 0.0305 0.1642
Li: 0.2742 0.2742 0.3524
Li: 0.7258 0.7258 0.6476
Li: 0.9695 0.9695 0.8358
Pd: 0.1104 0.1104 0.5203
Pd: 0.1767 0.1767 0.9480
Pd: 0.4557 0.4557 0.2753
Pd: 0.5443 0.5443 0.7247
Pd: 0.8233 0.8233 0.0520
Pd: 0.8896 0.8896 0.4797
Au: 0.3472 0.3472 0.7803
Au: 0.6528 0.6528 0.2197

## Properties
calculated volume = 177 Å³ per cell
energy of formation = -150 kJ/mol of formula units
symmetry = No. 12


(5)
DFT (PBE) results for a geometry-optimized Ce3Pm3ErTe8 structure.

a = 8.9511 Å, b = 8.9511 Å, c = 8.9511 Å
α = 59.62°, β = 59.62°, γ = 59.62°
Positions (direct):
Ce: 0.0000 0.5000 0.5000
Ce: 0.5000 0.0000 0.5000
Ce: 0.5000 0.5000 0.0000
Pm: 0.0000 0.0000 0.5000
Pm: 0.0000 0.5000 0.0000
Pm: 0.5000 0.0000 0.0000
Er: 0.5000 0.5000 0.5000
Te: 0.2494 0.2494 0.2494
Te: 0.2504 0.7479 0.7479
Te: 0.2521 0.2521 0.7496
Te: 0.2521 0.7496 0.2521
Te: 0.7479 0.2504 0.7479
Te: 0.7479 0.7479 0.2504
Te: 0.7496 0.2521 0.2521
Te: 0.7506 0.7506 0.7506

## Properties
calculated volume = 503 Å³ per cell
symmetry = No. 166
formation energy (no corrections) = -1.41 eV per atom


(6)
DFT (PBE) results for a geometry-optimized Nd5As2P2 structure.

a = 8.4232 Å, b = 8.4232 Å, c = 7.9330 Å
α = 90.00°, β = 90.00°, γ = 55.33°
Positions (direct):
Nd: 0.0000 0.0000 0.0000
Nd: 0.0278 0.7039 0.6583
Nd: 0.2039 0.5278 0.1583
Nd: 0.2961 0.9722 0.6583
Nd: 0.4722 0.7961 0.1583
Nd: 0.5000 0.5000 0.5000
Nd: 0.5278 0.2039 0.8417
Nd: 0.7039 0.0278 0.3417
Nd: 0.7961 0.4722 0.8417
Nd: 0.9722 0.2961 0.3417
As: 0.1994 0.1994 0.0000
As: 0.3006 0.3006 0.5000
As: 0.6994 0.6994 0.5000
As: 0.8006 0.8006 0.0000
P: 0.1440 0.8560 0.3561
P: 0.3560 0.6440 0.8561
P: 0.6440 0.3560 0.1439
P: 0.8560 0.1440 0.6439

## Properties
calculated volume = 463 Å³ per cell
energy of formation = -1109 kJ/mol of formula units
symmetry = No. 64


(7)
DFT (PBE) results for a geometry-optimized KPmCo2Cl8 structure.

a = 10.3334 Å, b = 10.3334 Å, c = 10.3334 Å
α = 36.69°, β = 36.69°, γ = 36.69°
Positions (direct):
K: 0.0000 0.0000 0.0000
Pm: 0.5000 0.5000 0.5000
Co: 0.2491 0.2491 0.2491
Co: 0.7509 0.7509 0.7509
Cl: 0.1044 0.4421 0.7849
Cl: 0.2151 0.8956 0.5579
Cl: 0.3247 0.3247 0.3247
Cl: 0.4421 0.7849 0.1044
Cl: 0.5579 0.2151 0.8956
Cl: 0.6753 0.6753 0.6753
Cl: 0.7849 0.1044 0.4421
Cl: 0.8956 0.5579 0.2151

## Properties
calculated volume = 353 Å³ per cell
symmetry = No. 148
formation energy (no corrections) = -1.33 eV per atom


(8)
DFT (PBE) results for a geometry-optimized NdSmAs2 structure.

a = 7.3449 Å, b = 7.3449 Å, c = 7.3449 Å
α = 33.61°, β = 33.61°, γ = 33.61°
Positions (direct):
Nd: 0.0000 0.0000 0.0000
Sm: 0.5000 0.5000 0.5000
As: 0.2488 0.2488 0.2488
As: 0.7512 0.7512 0.7512

## Properties
calculated volume = 108 Å³ per cell
energy of formation = -587 kJ/mol of formula units
symmetry = No. 166


(9)
DFT (PBE) results for a geometry-optimized Sr2Zn5Ag structure.

a = 8.7784 Å, b = 8.7784 Å, c = 9.3668 Å
α = 90.00°, β = 90.00°, γ = 149.88°
Positions (direct):
Sr: 0.0000 0.0000 0.0000
Sr: 0.0000 0.0000 0.5000
Sr: 0.2005 0.7995 0.7500
Sr: 0.7995 0.2005 0.2500
Zn: 0.1853 0.8147 0.1130
Zn: 0.1853 0.8147 0.3870
Zn: 0.3426 0.6574 0.0147
Zn: 0.3426 0.6574 0.4853
Zn: 0.3988 0.6012 0.7500
Zn: 0.6012 0.3988 0.2500
Zn: 0.6574 0.3426 0.5147
Zn: 0.6574 0.3426 0.9853
Zn: 0.8147 0.1853 0.6130
Zn: 0.8147 0.1853 0.8870
Ag: 0.4418 0.5582 0.2500
Ag: 0.5582 0.4418 0.7500

## Properties
calculated volume = 362 Å³ per cell
energy of formation = -176 kJ/mol of formula units
symmetry = No. 63


(10)
DFT (PBE) results for a geometry-optimized TcBr2Cl structure.

a = 7.4620 Å, b = 7.4620 Å, c = 3.6162 Å
α = 90.00°, β = 90.00°, γ = 142.12°
Positions (direct):
Tc: 0.0000 0.0000 0.0000
Br: 0.1284 0.8716 0.5000
Br: 0.8716 0.1284 0.5000
Cl: 0.5000 0.5000 0.0000

## Properties
calculated volume = 124 Å³ per cell
symmetry = No. 65
formation energy (no corrections) = -0.33 eV per atom


(11)
DFT (PBE) results for a geometry-optimized SrMgW structure.

a = 5.1253 Å, b = 5.1253 Å, c = 5.1253 Å
α = 60.00°, β = 60.00°, γ = 60.00°
Positions (direct):
Sr: 0.0000 0.0000 0.0000
Mg: 0.5000 0.5000 0.5000
W: 0.7500 0.7500 0.7500

## Properties
calculated volume = 95 Å³ per cell
energy of formation = 445 kJ/mol of formula units
symmetry = No. 216


(12)
DFT (PBE) results for a geometry-optimized ZnC4 structure.

a = 4.4687 Å, b = 4.4687 Å, c = 4.4687 Å
α = 104.34°, β = 104.34°, γ = 120.31°
Positions (direct):
Zn: 0.0000 0.0000 0.0000
C: 0.0000 0.3823 0.3823
C: 0.0000 0.6177 0.6177
C: 0.3823 0.0000 0.3823
C: 0.6177 0.0000 0.6177

## Properties
calculated volume = 67 Å³ per cell
energy of formation = 908 kJ/mol of formula units
symmetry = No. 139


(13)
DFT (PBE) results for a geometry-optimized NbIr3Ru structure.

a = 5.1315 Å, b = 5.1315 Å, c = 5.1315 Å
α = 62.75°, β = 62.75°, γ = 62.75°
Positions (direct):
Nb: 0.0000 0.0000 0.0000
Ir: 0.0000 0.5000 0.5000
Ir: 0.5000 0.0000 0.5000
Ir: 0.5000 0.5000 0.0000
Ru: 0.5000 0.5000 0.5000

## Properties
calculated volume = 101 Å³ per cell
energy of formation = 391 kJ/mol of formula units
symmetry = No. 166


(14)
DFT (PBE) results for a geometry-optimized LaYBi structure.

a = 8.7426 Å, b = 8.7426 Å, c = 5.0158 Å
α = 90.00°, β = 90.00°, γ = 150.28°
Positions (direct):
La: 0.0746 0.9254 0.7500
La: 0.9254 0.0746 0.2500
Y: 0.2515 0.7485 0.2500
Y: 0.7485 0.2515 0.7500
Bi: 0.3943 0.6057 0.7500
Bi: 0.6057 0.3943 0.2500

## Properties
calculated volume = 190 Å³ per cell
energy of formation = -182 kJ/mol of formula units
symmetry = No. 63


(15)
DFT (PBE) results for a geometry-optimized AgIr2F structure.

a = 4.3867 Å, b = 4.3867 Å, c = 4.3867 Å
α = 60.00°, β = 60.00°, γ = 60.00°
Positions (direct):
Ag: 0.0000 0.0000 0.0000
Ir: 0.2500 0.2500 0.2500
Ir: 0.7500 0.7500 0.7500
F: 0.5000 0.5000 0.5000

## Properties
calculated volume = 60 Å³ per cell
symmetry = No. 225
formation energy (no corrections) = 0.86 eV per atom


(16)
DFT (PBE) results for a geometry-optimized CoTeAs structure.

a = 3.7340 Å, b = 5.0027 Å, c = 6.0144 Å
α = 90.00°, β = 90.00°, γ = 90.00°
Positions (direct):
Co: 0.0000 0.2314 0.0000
Co: 0.5000 0.7686 0.5000
Te: 0.0000 0.4612 0.6276
Te: 0.5000 0.5388 0.1276
As: 0.0000 0.0257 0.3573
As: 0.5000 0.9743 0.8573

## Properties
calculated volume = 112 Å³ per cell
symmetry = No. 31
formation energy (no corrections) = -0.25 eV per atom


(17)
DFT (PBE) results for a geometry-optimized Zr2ReAu structure.

a = 2.9225 Å, b = 2.9225 Å, c = 9.6043 Å
α = 90.00°, β = 90.00°, γ = 110.41°
Positions (direct):
Zr: 0.0000 0.0000 0.0000
Zr: 0.5000 0.5000 0.2865
Re: 0.5000 0.5000 0.7774
Au: 0.0000 0.0000 0.5376

## Properties
calculated volume = 77 Å³ per cell
energy of formation = 50 kJ/mol of formula units
symmetry = No. 35


(18)
DFT (PBE) results for a geometry-optimized Be2IrRh structure.

a = 2.6899 Å, b = 2.6899 Å, c = 7.1201 Å
α = 90.00°, β = 90.00°, γ = 115.08°
Positions (direct):
Be: 0.0000 0.0000 0.2468
Be: 0.0000 0.0000 0.7532
Ir: 0.5000 0.5000 0.5000
Rh: 0.5000 0.5000 0.0000

## Properties
calculated volume = 47 Å³ per cell
energy of formation = -116 kJ/mol of formula units
symmetry = No. 65


(19)
DFT (PBE) results for a geometry-optimized Ca2Be3CoSi4 structure.

a = 3.8639 Å, b = 3.8639 Å, c = 9.8922 Å
α = 90.00°, β = 90.00°, γ = 90.00°
Positions (direct):
Ca: 0.0000 0.5000 0.2495
Ca: 0.5000 0.0000 0.7505
Be: 0.0000 0.5000 0.8668
Be: 0.5000 0.0000 0.1332
Be: 0.5000 0.5000 0.5000
Co: 0.0000 0.0000 0.5000
Si: 0.0000 0.0000 0.0000
Si: 0.0000 0.5000 0.6280
Si: 0.5000 0.0000 0.3720
Si: 0.5000 0.5000 0.0000

## Properties
calculated volume = 148 Å³ per cell
symmetry = No. 115
formation energy (no corrections) = -0.29 eV per atom


(20)
DFT (PBE) results for a geometry-optimized Mn2IrPt structure.

a = 4.8060 Å, b = 4.8060 Å, c = 4.5777 Å
α = 100.17°, β = 100.17°, γ = 33.83°
Positions (direct):
Mn: 0.0000 0.0000 0.0000
Mn: 0.2367 0.2367 0.6957
Ir: 0.7416 0.7416 0.1910
Pt: 0.4889 0.4889 0.4946

## Properties
calculated volume = 58 Å³ per cell
energy of formation = -43 kJ/mol of formula units
symmetry = No. 8